# 1
Sr2LiBiO | PBE-GGA | optimized geometry

ΔE_f (raw): -1528 meV/atom
M_tot: 0.000 μB/atom
V: 123 Å³/cell

a = 5.165 Å, b = 5.165 Å, c = 4.595 Å
α = 90.00°, β = 90.00°, γ = 90.00°
Space group P4/mmm (No. 123)
Inequivalent atoms, fractional coordinates:
Sr: 0.000 0.500 0.000
Li: 0.000 0.000 0.500
Bi: 0.500 0.500 0.500
O: 0.000 0.000 0.000

# 2
Sr2Li2BiO6 | PBE-GGA | optimized geometry

ΔE_f (raw): -1718 meV/atom
M_tot: 0.093 μB/atom
V: 486 Å³/cell

a = 5.9197 Å, b = 5.9197 Å, c = 16.0067 Å
α = 90.00°, β = 90.00°, γ = 120.00°
Space group R-3m (No. 166, hexagonal axes)
Inequivalent atoms, fractional coordinates:
Sr: 0.0000 0.0000 0.2139
Li: 0.0000 0.0000 0.4224
Bi: 0.0000 0.0000 0.0000
O: 0.0193 0.5097 0.7531

# 3
SrLiBiO3 | PBE-GGA | optimized geometry

ΔE_f (raw): -1858 meV/atom
M_tot: 0.000 μB/atom
V: 185 Å³/cell

a = 7.206 Å, b = 3.481 Å, c = 7.487 Å
α = 90.00°, β = 99.23°, γ = 90.00°
Space group P2_1/m (No. 11)
Inequivalent atoms, fractional coordinates:
Sr: 0.223 0.250 0.180
Li: 0.412 0.750 0.915
Bi: 0.184 0.250 0.658
O: 0.139 0.750 0.863
O: 0.142 0.750 0.403
O: 0.497 0.750 0.170

# 4
Sr3LiBiO6 | PBE-GGA | optimized geometry

ΔE_f (raw): -2149 meV/atom
M_tot: 0.000 μB/atom
V: 680 Å³/cell

a = 9.663 Å, b = 10.112 Å, c = 6.975 Å
α = 90.00°, β = 93.48°, γ = 90.00°
Space group Cc (No. 9)
Inequivalent atoms, fractional coordinates:
Sr: 0.000 0.077 0.000
Sr: 0.148 0.423 0.202
Sr: 0.324 0.096 0.351
Li: 0.323 0.278 0.852
Bi: 0.074 0.250 0.601
O: 0.057 0.191 0.307
O: 0.091 0.309 0.895
O: 0.189 0.074 0.671
O: 0.262 0.355 0.562
O: 0.385 0.355 0.140
O: 0.459 0.074 0.032

# 5
SrLi2BiO | PBE-GGA | optimized geometry

ΔE_f (raw): -1148 meV/atom
M_tot: 0.000 μB/atom
V: 105 Å³/cell

a = 4.659 Å, b = 4.659 Å, c = 4.848 Å
α = 90.00°, β = 90.00°, γ = 90.00°
Space group P4/mmm (No. 123)
Inequivalent atoms, fractional coordinates:
Sr: 0.000 0.000 0.000
Li: 0.000 0.500 0.500
Bi: 0.500 0.500 0.000
O: 0.000 0.000 0.500

# 6
Sr3Li2BiO6 | PBE-GGA | optimized geometry

ΔE_f (raw): -1932 meV/atom
M_tot: 0.000 μB/atom
V: 204 Å³/cell

a = 6.0308 Å, b = 6.0308 Å, c = 6.4788 Å
α = 90.00°, β = 90.00°, γ = 120.00°
Space group P-3m1 (No. 164)
Inequivalent atoms, fractional coordinates:
Sr: 0.0000 0.0000 0.0000
Sr: 0.3333 0.6667 0.6044
Li: 0.3333 0.6667 0.1838
Bi: 0.0000 0.0000 0.5000
O: 0.1696 0.3392 0.2927

# 7
Sr3LiBi3O8 | PBE-GGA | optimized geometry

ΔE_f (raw): -1771 meV/atom
M_tot: 0.000 μB/atom
V: 751 Å³/cell

a = 7.0269 Å, b = 7.0269 Å, c = 17.5631 Å
α = 90.00°, β = 90.00°, γ = 120.00°
Space group R-3m (No. 166, hexagonal axes)
Inequivalent atoms, fractional coordinates:
Sr: 0.0000 0.5000 0.0000
Li: 0.0000 0.0000 0.5000
Bi: 0.0000 0.5000 0.5000
O: 0.0000 0.0000 0.2493
O: 0.0124 0.5062 0.2401

# 8
LiTbBiO | PBE-GGA | optimized geometry

ΔE_f (raw): -1402 meV/atom
M_tot: 0.000 μB/atom
V: 92 Å³/cell

a = 4.336 Å, b = 4.518 Å, c = 4.712 Å
α = 90.00°, β = 90.00°, γ = 90.00°
Space group Pmmm (No. 47)
Inequivalent atoms, fractional coordinates:
Li: 0.000 0.000 0.000
Tb: 0.500 0.500 0.000
Bi: 0.500 0.000 0.500
O: 0.000 0.500 0.000

# 9
LiTc2BiO8 | PBE-GGA | optimized geometry

ΔE_f (raw): -1392 meV/atom
M_tot: 0.002 μB/atom
V: 319 Å³/cell

a = 5.247 Å, b = 5.247 Å, c = 11.576 Å
α = 90.00°, β = 90.00°, γ = 90.00°
Space group I-4 (No. 82)
Inequivalent atoms, fractional coordinates:
Li: 0.000 0.000 0.000
Tc: 0.000 0.000 0.500
Tc: 0.000 0.500 0.250
Bi: 0.000 0.500 0.750
O: 0.153 0.749 0.169
O: 0.154 0.245 0.582

# 10
LiTcBi2O6 | PBE-GGA | optimized geometry

ΔE_f (raw): -1396 meV/atom
M_tot: 0.200 μB/atom
V: 256 Å³/cell

a = 5.509 Å, b = 5.916 Å, c = 9.558 Å
α = 90.00°, β = 124.82°, γ = 90.00°
Space group P2_1/c (No. 14)
Inequivalent atoms, fractional coordinates:
Li: 0.000 0.000 0.000
Tc: 0.500 0.000 0.500
Bi: 0.228 0.065 0.735
O: 0.152 0.171 0.464
O: 0.262 0.724 0.435
O: 0.369 0.048 0.259

# 11
Li2TcBiO6 | PBE-GGA | optimized geometry

ΔE_f (raw): -1403 meV/atom
M_tot: 0.000 μB/atom
V: 495 Å³/cell

a = 8.500 Å, b = 9.683 Å, c = 6.422 Å
α = 90.00°, β = 110.41°, γ = 90.00°
Space group C2/c (No. 15)
Inequivalent atoms, fractional coordinates:
Li: 0.173 0.232 0.313
Tc: 0.000 0.052 0.750
Bi: 0.000 0.447 0.750
O: 0.035 0.105 0.087
O: 0.132 0.394 0.480
O: 0.181 0.152 0.816

# 12
LiTcBi2O | PBE-GGA | optimized geometry

ΔE_f (raw): 274 meV/atom
M_tot: 0.455 μB/atom
V: 94 Å³/cell

a = 5.367 Å, b = 5.367 Å, c = 3.276 Å
α = 90.00°, β = 90.00°, γ = 90.00°
Space group P4/mmm (No. 123)
Inequivalent atoms, fractional coordinates:
Li: 0.000 0.000 0.000
Tc: 0.500 0.500 0.500
Bi: 0.000 0.500 0.000
O: 0.000 0.000 0.500